[1]
Here is RbTcRu2Br after structural relaxation from the Alexandria database. Energies are from PBE.

abc: 4.620 7.647 4.620
angles: 90.00 90.00 90.00
Fractional coordinates of all 5 atoms:
Ru 0.500 0.000 0.000
Ru 0.000 0.000 0.500
Rb 0.000 0.500 0.000
Br 0.500 0.500 0.500
Tc 0.000 0.000 0.000

Values from the calculation:
formation energy (no corrections): 110.04 kJ per mole of atoms
energy: -5.171 eV/atom
ρ: 4.736 g/cm³
magnetization: 0.372 μB/atom


[2]
Here is Rb2TiRuBr6 after structural relaxation from the Alexandria database. Energies are from PBE.

abc: 7.464 7.464 7.456
angles: 59.96 59.96 90.00
Fractional coordinates of all 10 atoms:
Br 0.250 0.250 0.501
Ti 0.500 0.500 0.000
Ru 0.000 0.000 0.000
Br 0.750 0.750 0.499
Br 0.749 0.749 0.000
Br 0.251 0.749 0.000
Rb 0.250 0.750 0.500
Br 0.251 0.251 0.000
Br 0.749 0.251 0.000
Rb 0.750 0.250 0.500

Values from the calculation:
formation energy (no corrections): -89.28 kJ per mole of atoms
energy: -3.840 eV/atom
ρ: 4.524 g/cm³
magnetization: 0.200 μB/atom


[3]
Here is RbTlRuBr6 after structural relaxation from the Alexandria database. Energies are from PBE.

abc: 7.282 7.282 7.396
angles: 90.00 90.00 60.00
Fractional coordinates of all 9 atoms:
Br 0.613 0.048 0.304
Rb 0.000 0.000 0.000
Br 0.613 0.339 0.696
Br 0.339 0.613 0.304
Br 0.048 0.339 0.304
Tl 0.667 0.667 0.500
Br 0.339 0.048 0.696
Br 0.048 0.613 0.696
Ru 0.333 0.333 0.500

Values from the calculation:
formation energy (no corrections): -68.85 kJ per mole of atoms
energy: -3.230 eV/atom
ρ: 4.255 g/cm³
magnetization: 0.000 μB/atom


[4]
Here is RbTl2RuBr8 after structural relaxation from the Alexandria database. Energies are from PBE.

abc: 6.609 7.998 9.323
angles: 90.00 90.00 120.24
Fractional coordinates of all 12 atoms:
Br 0.985 0.220 0.813
Tl 0.500 0.500 0.248
Br 0.015 0.780 0.813
Br 0.015 0.780 0.187
Br 0.600 0.316 0.500
Rb 0.000 0.000 0.500
Tl 0.500 0.500 0.752
Br 0.985 0.220 0.187
Br 0.400 0.684 0.500
Br 0.436 0.202 0.000
Br 0.564 0.798 0.000
Ru 0.000 0.000 0.000

Values from the calculation:
formation energy (no corrections): -64.60 kJ per mole of atoms
energy: -3.033 eV/atom
ρ: 4.815 g/cm³
magnetization: 0.041 μB/atom


[5]
Here is Rb2VRuBr6 after structural relaxation from the Alexandria database. Energies are from PBE.

abc: 7.554 7.554 7.554
angles: 60.00 60.00 90.00
Fractional coordinates of all 10 atoms:
Rb 0.250 0.750 0.500
Br 0.746 0.746 0.000
Br 0.746 0.746 0.508
Br 0.254 0.254 0.492
Ru 0.000 0.000 0.000
Rb 0.750 0.250 0.500
Br 0.746 0.254 0.000
Br 0.254 0.746 0.000
V 0.500 0.500 0.000
Br 0.254 0.254 0.000

Values from the calculation:
formation energy (no corrections): -78.93 kJ per mole of atoms
energy: -3.855 eV/atom
ρ: 4.371 g/cm³
magnetization: 0.611 μB/atom


[6]
Here is Rb2YRuBr after structural relaxation from the Alexandria database. Energies are from PBE.

abc: 6.892 4.647 6.892
angles: 90.00 90.00 90.00
Fractional coordinates of all 5 atoms:
Y 0.500 0.500 0.500
Rb 0.500 0.000 0.000
Rb 0.000 0.000 0.500
Ru 0.000 0.000 0.000
Br 0.000 0.500 0.000

Values from the calculation:
formation energy (no corrections): 82.82 kJ per mole of atoms
energy: -3.011 eV/atom
ρ: 3.317 g/cm³
magnetization: 0.263 μB/atom


Repeat the fourth record exactly.
Here is RbTl2RuBr8 after structural relaxation from the Alexandria database. Energies are from PBE.

abc: 6.609 7.998 9.323
angles: 90.00 90.00 120.24
Fractional coordinates of all 12 atoms:
Br 0.985 0.220 0.813
Tl 0.500 0.500 0.248
Br 0.015 0.780 0.813
Br 0.015 0.780 0.187
Br 0.600 0.316 0.500
Rb 0.000 0.000 0.500
Tl 0.500 0.500 0.752
Br 0.985 0.220 0.187
Br 0.400 0.684 0.500
Br 0.436 0.202 0.000
Br 0.564 0.798 0.000
Ru 0.000 0.000 0.000

Values from the calculation:
formation energy (no corrections): -64.60 kJ per mole of atoms
energy: -3.033 eV/atom
ρ: 4.815 g/cm³
magnetization: 0.041 μB/atom


Which of these has the highest ρ?
RbTl2RuBr8


Among the records above, which one has the highest formation energy (no corrections)?
RbTcRu2Br